# NaAlCoF6 (GGA+U, relaxed)
# total magnetic moment	3.0	μB per formula unit
# E_tot	-5.23	eV/atom
# D(E_F)	0.000	states/eV/f.u.
data_NaAlCoF6
_space_group_name_H-M_alt 'P 1'
_space_group_IT_number 1
_space_group_name_Hall 'P 1'
_cell_length_a 7.063
_cell_length_b 7.063
_cell_length_c 7.063
_cell_angle_alpha 121.27
_cell_angle_beta 119.48
_cell_angle_gamma 89.36
loop_
_atom_site_label
_atom_site_type_symbol
_atom_site_fract_x
_atom_site_fract_y
_atom_site_fract_z
Na1 Na 0.334 0.084 0.250
Na2 Na 0.666 0.916 0.750
Al1 Al 0.000 0.500 0.500
Al2 Al 0.500 0.500 0.000
Co1 Co 0.000 0.000 0.500
Co2 Co 0.000 0.500 0.000
F1 F 0.097 0.437 0.285
F2 F 0.097 0.811 0.660
F3 F 0.104 0.854 0.250
F4 F 0.285 0.535 0.750
F5 F 0.348 0.189 0.785
F6 F 0.348 0.563 0.160
F7 F 0.652 0.437 0.840
F8 F 0.652 0.811 0.215
F9 F 0.715 0.465 0.250
F10 F 0.896 0.146 0.750
F11 F 0.903 0.189 0.340
F12 F 0.903 0.563 0.715